# 1
## LiAl5Ag4 (PBE)

Data for crystalline LiAl5Ag4 at its relaxed geometry.

Lattice parameters (Å, degrees): 5.9373 9.4075 6.7668 90.00 90.00 90.00
Closest atoms and distances in Å follow each position.
Fractional coordinates of all 20 atoms:
Li (0.2500, 0.2500, 0.0123)  8 Ag 3.04-3.34, 4 Al 3.35
Li (0.7500, 0.7500, 0.9877)  8 Ag 3.04-3.34, 4 Al 3.35
Al (0.0081, 0.0241, 0.6937)  4 Ag 2.58-2.86, 3 Al 2.63-2.87
Al (0.0081, 0.4759, 0.6937)  4 Ag 2.58-2.86, 3 Al 2.63-2.87
Al (0.2500, 0.7500, 0.2758)  4 Ag 2.58-2.63, 4 Al 2.63
Al (0.4919, 0.0241, 0.6937)  4 Ag 2.58-2.86, 3 Al 2.63-2.87
Al (0.4919, 0.4759, 0.6937)  4 Ag 2.58-2.86, 3 Al 2.63-2.87
Al (0.5081, 0.5241, 0.3063)  4 Ag 2.58-2.86, 3 Al 2.63-2.87
Al (0.5081, 0.9759, 0.3063)  4 Ag 2.58-2.86, 3 Al 2.63-2.87
Al (0.7500, 0.2500, 0.7242)  4 Ag 2.58-2.63, 4 Al 2.63
Al (0.9919, 0.5241, 0.3063)  4 Ag 2.58-2.86, 3 Al 2.63-2.87
Al (0.9919, 0.9759, 0.3063)  4 Ag 2.58-2.86, 3 Al 2.63-2.87
Ag (0.0110, 0.2500, 0.4103)  5 Al 2.63-2.86, 1 Ag 2.84
Ag (0.2500, 0.5876, 0.9691)  5 Al 2.58-2.81
Ag (0.2500, 0.9124, 0.9691)  5 Al 2.58-2.81
Ag (0.4890, 0.2500, 0.4103)  5 Al 2.63-2.86, 1 Ag 2.84
Ag (0.5110, 0.7500, 0.5897)  5 Al 2.63-2.86, 1 Ag 2.84
Ag (0.7500, 0.0876, 0.0309)  5 Al 2.58-2.81
Ag (0.7500, 0.4124, 0.0309)  5 Al 2.58-2.81
Ag (0.9890, 0.7500, 0.5897)  5 Al 2.63-2.86, 1 Ag 2.84

## Properties
The formation energy comes out at 0.022 eV/atom. The total energy comes out at -63.6 eV/cell. The value obtained for the energy above the most stable polymorph in this dataset is 35 meV per atom. Its symmetry is No. 59. As for the crystal system: orthorhombic.

# 2
## Li4Al3Ag5 (PBE)

Data for crystalline Li4Al3Ag5 at its relaxed geometry.

Lattice parameters (Å, degrees): 4.4190 4.6428 10.9486 88.34 88.89 64.88
Closest atoms and distances in Å follow each position.
Fractional coordinates of all 12 atoms:
Li (0.0077, 0.4967, 0.3621)  5 Ag 2.57-2.87, 3 Al 2.73-2.81
Li (0.3377, 0.8218, 0.9727)  5 Ag 2.68-2.94, 3 Li 2.69-2.79, 1 Al 2.97
Li (0.6623, 0.1782, 0.0273)  5 Ag 2.68-2.94, 3 Li 2.69-2.79, 1 Al 2.97
Li (0.9923, 0.5033, 0.6379)  5 Ag 2.57-2.87, 3 Al 2.73-2.81
Al (0.0000, 0.0000, 0.5000)  2 Ag 2.43
Al (0.3446, 0.8117, 0.2437)  5 Ag 2.62-2.89, 1 Li 2.77
Al (0.6554, 0.1883, 0.7563)  5 Ag 2.62-2.89, 1 Li 2.77
Ag (0.0057, 0.4735, 0.8725)  2 Li 2.57-2.86, 1 Al 2.77, 1 Ag 2.81
Ag (0.3229, 0.8433, 0.7277)  4 Al 2.62-2.82, 4 Li 2.68-2.93, 1 Ag 2.91
Ag (0.5000, 0.5000, 0.5000)  2 Al 2.43, 4 Li 2.67-2.68
Ag (0.6771, 0.1567, 0.2723)  4 Al 2.62-2.82, 4 Li 2.68-2.93, 1 Ag 2.91
Ag (0.9943, 0.5265, 0.1275)  2 Li 2.57-2.86, 1 Al 2.77, 1 Ag 2.81

## Properties
The formation energy comes out at -0.123 eV/atom. The total energy comes out at -34.6 eV/cell. Its symmetry is No. 2. As for the crystal system: triclinic.